# 1
Material: TaRu2Au
Method: DFT, PBEsol
State: relaxed

Lattice parameters (Å, degrees): 3.343 3.343 5.580 90.00 90.00 90.00
Atoms (fractional coordinates):
Ta 0.000 0.000 0.000
Ru 0.000 0.000 0.559
Ru 0.500 0.500 0.769
Au 0.500 0.500 0.281

E_form, kJ/mol of atoms: 11.3
Polymorph energy (0 for the lowest one), eV per formula unit: 1.18
ρ, g/cm3: 15.4
Symmetry: P4mm (99)
D(E_F), states/eV per cell: 3.30



# 2
Material: Te2SF
Method: DFT, PBEsol
State: relaxed

Lattice parameters (Å, degrees): 4.743 4.743 4.743 60.00 60.00 60.00
Atoms (fractional coordinates):
Te 0.250 0.250 0.250
Te 0.750 0.750 0.750
S 0.000 0.000 0.000
F 0.500 0.500 0.500

Polymorph energy (0 for the lowest one), eV per formula unit: 0.78
ρ, g/cm3: 6.7
Symmetry: Fm-3m (225)
D(E_F), states/eV per cell: 2.78
Formation energy from raw total energies, eV per atom: -0.15